Record 1
DFT (SCAN) results for a PBEsol-optimized structure of PPbBr2.

```
4
Lattice="1.7203 -3.1170 0.0000 1.7203 3.1170 0.0000 0.0000 0.0000 9.2762" Properties=species:S:1:pos:R:3 pbc="T T T"
P 0.0000 0.0000 0.0000
Pb 0.0000 0.0000 4.6381
Br 1.7203 0.0000 1.9297
Br 1.7203 0.0000 7.3465
```

Properties
- relative energy among the computed polymorphs (meV/atom) = 108.0

---

Record 2
DFT (SCAN) results for a PBEsol-optimized structure of PPbSe2Br.

```
5
Lattice="5.4110 0.0000 0.0000 0.0000 5.4110 0.0000 0.0000 0.0000 5.4620" Properties=species:S:1:pos:R:3 pbc="T T T"
P 0.0000 0.0000 0.0000
Pb 2.7055 2.7055 2.7310
Se 0.0000 2.7055 2.7310
Se 2.7055 0.0000 2.7310
Br 2.7055 2.7055 0.0000
```

Properties
- electronic total energy (eV/atom) = -28.3300

---

Record 3
DFT (SCAN) results for a PBEsol-optimized structure of PPdRhBr2.

```
5
Lattice="5.0741 0.0000 0.0000 0.0000 5.0741 0.0000 0.0000 0.0000 4.4276" Properties=species:S:1:pos:R:3 pbc="T T T"
P 0.0000 0.0000 0.0000
Pd 0.0000 0.0000 2.2138
Rh 2.5370 2.5370 0.0000
Br 0.0000 2.5370 2.2138
Br 2.5370 0.0000 2.2138
```

Properties
- electronic total energy (eV/atom) = -22.3262

---

Record 4
DFT (SCAN) results for a PBEsol-optimized structure of Pr3PBr3.

```
28
Lattice="-5.8739 5.8739 5.8739 5.8739 -5.8739 5.8739 5.8739 5.8739 -5.8739" Properties=species:S:1:pos:R:3 pbc="T T T"
Pr 1.6105 1.4685 -1.3265
Pr 7.2004 1.6105 -1.4685
Pr 1.4685 -1.3265 1.6105
Pr 4.5474 4.2635 -1.4685
Pr 4.2635 1.4685 1.3265
Pr -1.3265 1.6105 1.4685
Pr 4.2635 -1.4685 4.5474
Pr 1.4685 1.3265 4.2635
Pr 1.3265 4.2635 1.4685
Pr 1.6105 -1.4685 7.2004
Pr -1.4685 7.2004 1.6105
Pr -1.4685 4.5474 4.2635
P 4.4054 1.4685 -1.4685
P 1.4685 1.4685 1.4685
P 1.4685 -1.4685 4.4054
P -1.4685 4.4054 1.4685
Br 7.3424 1.3801 1.5568
Br 7.3424 -1.3801 4.3171
Br 4.3171 7.3424 -1.3801
Br 4.4938 1.5568 4.4054
Br 4.4054 4.4938 1.5568
Br 1.5568 7.3424 1.3801
Br 7.2541 4.3171 4.4054
Br 1.5568 4.4054 4.4938
Br 1.3801 1.5568 7.3424
Br 4.4054 7.2541 4.3171
Br -1.3801 4.3171 7.3424
Br 4.3171 4.4054 7.2541
```

Properties
- electronic total energy (eV/atom) = -30.2541

---

Record 5
DFT (SCAN) results for a PBEsol-optimized structure of PPtBr.

```
3
Lattice="0.0000 3.0791 3.0791 3.0791 0.0000 3.0791 3.0791 3.0791 0.0000" Properties=species:S:1:pos:R:3 pbc="T T T"
P 0.0000 0.0000 0.0000
Pt 1.5396 1.5396 1.5396
Br 4.6187 4.6187 4.6187
```

Properties
- electronic total energy (eV/atom) = -32.4455

---

Record 6
DFT (SCAN) results for a PBEsol-optimized structure of P2PtBr.

```
4
Lattice="0.0000 3.1867 3.1867 3.1867 0.0000 3.1867 3.1867 3.1867 0.0000" Properties=species:S:1:pos:R:3 pbc="T T T"
P 0.0000 0.0000 0.0000
P 1.5933 1.5933 1.5933
Pt 4.7800 4.7800 4.7800
Br 3.1867 3.1867 3.1867
```

Properties
- relative energy among the computed polymorphs (meV/atom) = 620.8

---

Record 7
DFT (SCAN) results for a PBEsol-optimized structure of P2PtBr.

```
4
Lattice="3.2054 0.0000 0.0000 0.0000 3.2054 0.0000 0.0000 0.0000 6.9167" Properties=species:S:1:pos:R:3 pbc="T T T"
P 0.0000 0.0000 0.0000
P 1.6027 1.6027 0.9490
Pt 0.0000 0.0000 2.3593
Br 1.6027 1.6027 4.2469
```

Properties
- relative energy among the computed polymorphs (meV/atom) = 0.0

---

Record 8
DFT (SCAN) results for a PBEsol-optimized structure of P2PtSBr.

```
5
Lattice="4.6411 0.0000 0.0000 0.0000 4.6411 0.0000 0.0000 0.0000 4.7694" Properties=species:S:1:pos:R:3 pbc="T T T"
P 0.0000 2.3206 0.0000
P 2.3206 0.0000 0.0000
Pt 0.0000 0.0000 0.0000
S 0.0000 0.0000 2.3847
Br 2.3206 2.3206 2.3847
```

Properties
- electronic total energy (eV/atom) = -23.2387

---

Record 9
DFT (SCAN) results for a PBEsol-optimized structure of PPtS2Br.

```
5
Lattice="4.5822 0.0000 0.0000 0.0000 4.5822 0.0000 0.0000 0.0000 4.8500" Properties=species:S:1:pos:R:3 pbc="T T T"
P 0.0000 0.0000 0.0000
Pt 2.2911 2.2911 0.0000
S 0.0000 2.2911 2.4250
S 2.2911 0.0000 2.4250
Br 0.0000 0.0000 2.4250
```

Properties
- electronic total energy (eV/atom) = -22.0011

---

Record 10
DFT (SCAN) results for a PBEsol-optimized structure of RbP3Br.

```
5
Lattice="6.5822 0.0000 0.0000 0.0000 6.5822 0.0000 0.0000 0.0000 6.5822" Properties=species:S:1:pos:R:3 pbc="T T T"
Rb 0.0000 0.0000 0.0000
P 0.0000 0.0000 3.2911
P 0.0000 3.2911 0.0000
P 3.2911 0.0000 0.0000
Br 3.2911 3.2911 3.2911
```

Properties
- electronic total energy (eV/atom) = -12.5963

---

Record 11
DFT (SCAN) results for a PBEsol-optimized structure of Ta2RePBr.

```
5
Lattice="4.5792 0.0000 0.0000 0.0000 4.5792 0.0000 0.0000 0.0000 4.6013" Properties=species:S:1:pos:R:3 pbc="T T T"
Ta 0.0000 2.2896 0.0000
Ta 2.2896 0.0000 0.0000
Re 0.0000 0.0000 2.3006
P 2.2896 2.2896 0.0000
Br 2.2896 2.2896 2.3006
```

Properties
- electronic total energy (eV/atom) = -45.1250

---

Record 12
DFT (SCAN) results for a PBEsol-optimized structure of P3RhBr.

```
5
Lattice="4.5915 0.0000 0.0000 0.0000 4.5915 0.0000 0.0000 0.0000 4.5915" Properties=species:S:1:pos:R:3 pbc="T T T"
P 0.0000 0.0000 2.2957
P 0.0000 2.2957 0.0000
P 2.2957 0.0000 0.0000
Rh 0.0000 0.0000 0.0000
Br 2.2957 2.2957 2.2957
```

Properties
- electronic total energy (eV/atom) = -16.1237

---

These records have calculated volume values of 99; 160; 114; 811; 58; 65; 71; 103; 102; 285; 96; 97 Å³/cell, in the order they appear.
These records have magnetization values of 0.00; 0.21; 0.36; 0.00; 0.00; 0.00; 0.00; 0.26; 0.00; 1.82; 0.37; 0.00 μB/atom, in the order they appear.
These records have theoretical density values of 6.643; 4.942; 5.828; 5.681; 8.702; 8.645; 7.873; 5.964; 6.035; 1.504; 11.341; 4.730 g/cm3, in the order they appear.